[1]
Below is a relaxed BaLi3Cd crystal, with properties calculated at the PBE-GGA level.

The structure belongs to space group Pm-3m (No. 221); the cell edges are 5.330, 5.330 and 5.330 Å and the angles 90.00°, 90.00° and 90.00°. The distinct sites, in fractional coordinates, are Ba at (0.000, 0.000, 0.000), Li at (0.000, 0.500, 0.500) and Cd at (0.500, 0.500, 0.500).

Its excess energy over the best structure of this formula in the dataset is 0.008 eV per atom. Its energy of formation is -0.2 eV/f.u. The density of states at the Fermi level is 4.87 states/eV/cell.

[2]
Below is a relaxed BaLi2Cd2 crystal, with properties calculated at the PBE-GGA level.

The structure belongs to space group P4/mbm (No. 127); the cell edges are 8.555, 8.555 and 3.550 Å and the angles 90.00°, 90.00° and 90.00°. The distinct sites, in fractional coordinates, are Ba at (0.000, 0.000, 0.000), Li at (0.121, 0.379, 0.000) and Cd at (0.161, 0.661, 0.500).

Its excess energy over the best structure of this formula in the dataset is 0.035 eV per atom. Its energy of formation is -0.8 eV/f.u. The density of states at the Fermi level is 7.09 states/eV/cell.

[3]
Below is a relaxed Ba8Li2Cd crystal, with properties calculated at the PBE-GGA level.

The structure belongs to space group C2/m (No. 12); the cell edges are 21.844, 6.271 and 8.546 Å and the angles 90.00°, 108.01° and 90.00°. The distinct sites, in fractional coordinates, are Ba at (0.027, 0.000, 0.294), Ba at (0.091, 0.500, 0.935), Ba at (0.162, 0.500, 0.470), Ba at (0.202, 0.000, 0.809), Li at (0.181, 0.000, 0.212) and Cd at (0.000, 0.500, 0.500).

Its excess energy over the best structure of this formula in the dataset is 0.000 eV per atom. Its energy of formation is -0.2 eV/f.u. The density of states at the Fermi level is 29.54 states/eV/cell.

[4]
Below is a relaxed BaLi2Cd crystal, with properties calculated at the PBE-GGA level.

The structure belongs to space group P4mm (No. 99); the cell edges are 3.899, 3.899 and 7.870 Å and the angles 90.00°, 90.00° and 90.00°. The distinct sites, in fractional coordinates, are Ba at (0.000, 0.000, 0.000), Li at (0.000, 0.000, 0.469), Li at (0.500, 0.500, 0.655) and Cd at (0.500, 0.500, 0.298).

Its energy of formation is -0.4 eV/f.u. The density of states at the Fermi level is 1.57 states/eV/cell.

[5]
Below is a relaxed Ba2Li5Cd2 crystal, with properties calculated at the PBE-GGA level.

The structure belongs to space group P4/mmm (No. 123); the cell edges are 4.744, 4.744 and 12.194 Å and the angles 90.00°, 90.00° and 90.00°. The distinct sites, in fractional coordinates, are Ba at (0.000, 0.000, 0.000), Ba at (0.000, 0.000, 0.500), Li at (0.000, 0.500, 0.230), Li at (0.500, 0.500, 0.000) and Cd at (0.500, 0.500, 0.365).

Its energy of formation is -0.3 eV/f.u. The density of states at the Fermi level is 5.07 states/eV/cell.

[6]
Below is a relaxed Ba5LiCd4 crystal, with properties calculated at the PBE-GGA level.

The structure belongs to space group P4/mmm (No. 123); the cell edges are 4.259, 4.259 and 21.762 Å and the angles 90.00°, 90.00° and 90.00°. The distinct sites, in fractional coordinates, are Ba at (0.000, 0.000, 0.000), Ba at (0.000, 0.000, 0.198), Ba at (0.000, 0.000, 0.392), Li at (0.500, 0.500, 0.500), Cd at (0.500, 0.500, 0.099) and Cd at (0.500, 0.500, 0.299).

Its energy of formation is -2.6 eV/f.u. The density of states at the Fermi level is 9.62 states/eV/cell.

[7]
Below is a relaxed Ba3LiCd8 crystal, with properties calculated at the PBE-GGA level.

The structure belongs to space group R3m (No. 160, hexagonal axes); the cell edges are 6.2589, 6.2589 and 31.2651 Å and the angles 90.00°, 90.00° and 120.00°. The distinct sites, in fractional coordinates, are Ba at (0.0000, 0.0000, 0.0000), Ba at (0.0000, 0.0000, 0.1266), Ba at (0.0000, 0.0000, 0.6177), Li at (0.0000, 0.0000, 0.4966), Cd at (0.0000, 0.0000, 0.3088), Cd at (0.0000, 0.0000, 0.8126), Cd at (0.0006, 0.5003, 0.5590) and Cd at (0.0042, 0.5021, 0.0632).

Its energy of formation is -2.9 eV/f.u. The density of states at the Fermi level is 25.37 states/eV/cell.

[8]
Below is a relaxed BaLi4Cd8 crystal, with properties calculated at the PBE-GGA level.

The structure belongs to space group I4/mmm (No. 139); the cell edges are 10.359, 10.359 and 5.418 Å and the angles 90.00°, 90.00° and 90.00°. The distinct sites, in fractional coordinates, are Ba at (0.000, 0.000, 0.000), Li at (0.250, 0.250, 0.250), Cd at (0.000, 0.224, 0.500) and Cd at (0.000, 0.355, 0.000).

Its energy of formation is -3.0 eV/f.u. The density of states at the Fermi level is 13.57 states/eV/cell.

[9]
Below is a relaxed BaLi2Cd8 crystal, with properties calculated at the PBE-GGA level.

The structure belongs to space group P4/mmm (No. 123); the cell edges are 5.876, 5.876 and 10.174 Å and the angles 90.00°, 90.00° and 90.00°. The distinct sites, in fractional coordinates, are Ba at (0.000, 0.000, 0.000), Li at (0.000, 0.500, 0.500) and Cd at (0.252, 0.252, 0.296).

Its energy of formation is 0.4 eV/f.u. The density of states at the Fermi level is 4.67 states/eV/cell.

[10]
Below is a relaxed Ba3LiCd crystal, with properties calculated at the PBE-GGA level.

The structure belongs to space group Cmcm (No. 63); the cell edges are 6.103, 24.075 and 6.094 Å and the angles 90.00°, 90.00° and 90.00°. The distinct sites, in fractional coordinates, are Ba at (0.000, 0.072, 0.250), Ba at (0.000, 0.250, 0.250), Ba at (0.000, 0.427, 0.250), Li at (0.000, 0.341, 0.750) and Cd at (0.000, 0.158, 0.750).

Its excess energy over the best structure of this formula in the dataset is 0.000 eV per atom. Its energy of formation is -0.6 eV/f.u. The density of states at the Fermi level is 29.37 states/eV/cell.

[11]
Below is a relaxed BaLiCd2 crystal, with properties calculated at the PBE-GGA level.

The structure belongs to space group Pm (No. 6); the cell edges are 3.804, 4.933 and 6.604 Å and the angles 90.00°, 91.07° and 90.00°. The distinct sites, in fractional coordinates, are Ba at (0.000, 0.000, 0.000), Li at (0.024, 0.500, 0.583), Cd at (0.505, 0.000, 0.514) and Cd at (0.510, 0.500, 0.261).

Its excess energy over the best structure of this formula in the dataset is 0.101 eV per atom. Its energy of formation is -0.7 eV/f.u. The density of states at the Fermi level is 2.38 states/eV/cell.

[12]
Below is a relaxed Ba4Li3Cd crystal, with properties calculated at the PBE-GGA level.

The structure belongs to space group Pmm2 (No. 25); the cell edges are 4.907, 5.322 and 13.293 Å and the angles 90.00°, 90.00° and 90.00°. The distinct sites, in fractional coordinates, are Ba at (0.000, 0.000, 0.000), Ba at (0.000, 0.500, 0.278), Ba at (0.500, 0.000, 0.486), Ba at (0.500, 0.500, 0.783), Li at (0.000, 0.000, 0.698), Li at (0.000, 0.500, 0.575), Li at (0.500, 0.500, 0.081) and Cd at (0.500, 0.000, 0.199).

Its energy of formation is -0.4 eV/f.u. The density of states at the Fermi level is 7.40 states/eV/cell.